[1]
14
Lattice="-2.820 7.514 5.388 2.820 -7.514 5.388 2.820 7.514 -5.388" Properties=species:S:1:pos:R:3 comment="Tb9Nd2Er3, relaxed, DFT PBE" volume_a3_per_cell=456.7 e_tot_ev_per_fu=-63.34 e_form_ev_per_atom=0.11 pbc="T T T"
Tb 0.000 7.514 0.000
Tb 0.000 9.055 3.664
Tb 2.820 -1.541 1.724
Tb 0.000 5.973 3.664
Tb 2.820 1.541 1.724
Tb 0.000 11.718 1.725
Tb 2.820 -4.204 3.662
Tb 0.000 3.310 1.725
Tb 2.820 4.204 3.662
Nd 2.820 4.805 0.000
Nd 0.000 2.709 5.388
Er 0.000 0.000 0.000
Er 0.000 0.000 3.208
Er 0.000 0.000 7.567



[2]
6
Lattice="0.000 3.659 3.659 3.659 0.000 3.659 3.659 3.659 0.000" Properties=species:S:1:pos:R:3 comment="MnInTc4, relaxed, DFT PBE" volume_a3_per_cell=98.0 e_tot_ev_per_fu=-51.27 e_form_ev_per_atom=0.35 pbc="T T T"
Mn 0.000 0.000 0.000
In 5.489 5.489 5.489
Tc 2.741 4.577 4.577
Tc 4.577 4.577 2.741
Tc 4.577 2.741 4.577
Tc 2.741 2.741 2.741